Computed, not measured: an optimized crystal structure of UB14Mo at the GGA-PBE level of DFT.

Structure (POSCAR):
```
UB14Mo
1.0
-2.931 5.478 4.070
2.931 -5.478 4.070
2.931 5.478 -4.070
U B Mo
2 28 2
Direct
0.376 0.126 0.250 U
0.624 0.874 0.750 U
0.005 0.126 0.879 B
0.027 0.205 0.331 B
0.027 0.696 0.822 B
0.094 0.674 0.421 B
0.199 0.531 0.668 B
0.228 0.501 0.405 B
0.228 0.823 0.727 B
0.247 0.326 0.921 B
0.253 0.874 0.379 B
0.362 0.531 0.832 B
0.374 0.205 0.678 B
0.374 0.696 0.169 B
0.404 0.177 0.905 B
0.404 0.499 0.227 B
0.596 0.501 0.773 B
0.596 0.823 0.095 B
0.626 0.304 0.831 B
0.626 0.795 0.322 B
0.638 0.469 0.168 B
0.747 0.126 0.621 B
0.753 0.674 0.079 B
0.772 0.177 0.273 B
0.772 0.499 0.595 B
0.801 0.469 0.332 B
0.906 0.326 0.579 B
0.973 0.304 0.178 B
0.973 0.795 0.669 B
0.995 0.874 0.121 B
0.000 0.000 0.500 Mo
0.000 0.500 0.000 Mo
```

The space-group type is No. 74. The energy relative to the elements is -0.06 eV per atom.